1.
# CeThGa PBE relaxed
data_CeThGa
_chemical_formula_sum 'Ce2 Th2 Ga2'
_cell_length_a 3.4314
_cell_length_b 3.4314
_cell_length_c 15.9730
_cell_angle_alpha 90.00
_cell_angle_beta 90.00
_cell_angle_gamma 120.00
_space_group_name_H-M_alt 'P -3 m 1'
_space_group_IT_number 164
_space_group_name_Hall '-P 3 2"'
loop_
_atom_site_label
_atom_site_fract_x
_atom_site_fract_y
_atom_site_fract_z
Ce1 0.3333 0.6667 0.2892
Th1 0.0000 0.0000 0.1025
Ga1 0.3333 0.6667 0.5584
# Uncorrected energy, Ry/atom: -0.399
# Energy above the lowest structure with this stoichiometry, meV/atom: 280.5
# Formation enthalpy at 0 K, eV/atom: 0.029

2.
# Eu2SbPb PBE relaxed
data_Eu2SbPb
_chemical_formula_sum 'Eu2 Sb1 Pb1'
_cell_length_a 5.235
_cell_length_b 5.235
_cell_length_c 4.498
_cell_angle_alpha 90.00
_cell_angle_beta 90.00
_cell_angle_gamma 90.00
_space_group_name_H-M_alt 'P 4/m m m'
_space_group_IT_number 123
_space_group_name_Hall '-P 4 2'
loop_
_atom_site_label
_atom_site_fract_x
_atom_site_fract_y
_atom_site_fract_z
Eu1 0.000 0.500 0.000
Sb1 0.000 0.000 0.500
Pb1 0.500 0.500 0.500
# Uncorrected energy, Ry/atom: -0.574
# Energy above the lowest structure with this stoichiometry, meV/atom: 0.0
# Formation energy from raw total energies, eV/atom: -0.713

3.
# PuMnCo PBE relaxed
data_PuMnCo
_chemical_formula_sum 'Pu4 Mn4 Co4'
_cell_length_a 4.078
_cell_length_b 4.078
_cell_length_c 11.160
_cell_angle_alpha 90.00
_cell_angle_beta 90.00
_cell_angle_gamma 90.00
_space_group_name_H-M_alt 'I 4/m m m'
_space_group_IT_number 139
_space_group_name_Hall '-I 4 2'
loop_
_atom_site_label
_atom_site_fract_x
_atom_site_fract_y
_atom_site_fract_z
Pu1 0.000 0.000 0.168
Mn1 0.000 0.000 0.366
Co1 0.000 0.500 0.000
# Uncorrected energy, Ry/atom: -0.748
# Energy above the lowest structure with this stoichiometry, meV/atom: 147.7
# Formation enthalpy at 0 K, eV/atom: 0.026

4.
# NiTeS PBE relaxed
data_NiTeS
_chemical_formula_sum 'Ni1 Te1 S1'
_cell_length_a 3.6493
_cell_length_b 3.6493
_cell_length_c 4.9146
_cell_angle_alpha 90.00
_cell_angle_beta 90.00
_cell_angle_gamma 120.00
_space_group_name_H-M_alt 'P 3 m 1'
_space_group_IT_number 156
loop_
_space_group_symop_operation_xyz
'x,y,z'
'-y,x-y,z'
'-x+y,-x,z'
'-y,-x,z'
'-x+y,y,z'
'x,x-y,z'
loop_
_atom_site_label
_atom_site_fract_x
_atom_site_fract_y
_atom_site_fract_z
Ni1 0.0000 0.0000 0.0000
Te1 0.3333 0.6667 0.7093
S1 0.6667 0.3333 0.2105
# Uncorrected energy, Ry/atom: -0.335
# Energy above the lowest structure with this stoichiometry, meV/atom: 0.0
# Formation energy from raw total energies, eV/atom: -0.202

- Among the records above, which one has the lowest uncorrected energy?
  PuMnCo